The following is a PBE calculation of a geometry-optimized PaInTe structure, from Alexandria via LeMat-Bulk.

a = 4.320 Å, b = 4.320 Å, c = 9.250 Å
α = 103.50°, β = 103.50°, γ = 90.00°
Atoms (fractional coordinates):
Pa (0.360, 0.360, 0.720)
Pa (0.640, 0.640, 0.280)
In (0.000, 0.500, 0.000)
In (0.500, 0.000, 0.000)
Te (0.178, 0.178, 0.356)
Te (0.822, 0.822, 0.644)

Values from the calculation:
Excess energy over the best structure of this formula in the dataset: 0.0 meV/atom
Space-group type: I4/mmm, No. 139
Total energy: -5.61 eV per atom
Energy relative to the elements, uncorrected: -0.49 eV per atom